(1)
A relaxed Tb2Cr2Co15 crystal, computed with PBE-GGA.

a = 8.3127 Å, b = 8.3127 Å, c = 12.1136 Å
α = 90.00°, β = 90.00°, γ = 120.00°
Space group R-3m (No. 166, hexagonal axes)
Inequivalent atoms, fractional coordinates:
Tb  0.0000  0.0000  0.1555 (multiplicity 6)
Cr  0.0000  0.0000  0.4144 (multiplicity 6)
Co  0.0000  0.2949  0.5000 (multiplicity 18)
Co  0.0000  0.5000  0.0000 (multiplicity 9)
Co  0.0037  0.5018  0.3457 (multiplicity 18)

Results
Formation energy from the elements in eV/atom: -0.0677

(2)
A relaxed Hf4BCS2 crystal, computed with PBE-GGA.

a = 5.965 Å, b = 3.451 Å, c = 6.355 Å
α = 90.00°, β = 108.27°, γ = 90.00°
Space group P2/m (No. 10)
Inequivalent atoms, fractional coordinates:
Hf  0.230  0.000  0.199 (multiplicity 2)
Hf  0.263  0.500  0.797 (multiplicity 2)
B  0.500  0.000  0.000 (multiplicity 1)
C  0.000  0.500  0.000 (multiplicity 1)
S  0.000  0.000  0.500 (multiplicity 1)
S  0.500  0.500  0.500 (multiplicity 1)

Results
Uncorrected formation energy in meV/atom: -1209.8

(3)
A relaxed HoGa6Ni4 crystal, computed with PBE-GGA.

a = 6.9480 Å, b = 6.9480 Å, c = 3.9280 Å
α = 90.00°, β = 90.00°, γ = 120.00°
Space group P-6m2 (No. 187)
Inequivalent atoms, fractional coordinates:
Ho  0.0000  0.0000  0.0000 (multiplicity 1)
Ga  0.0686  0.5343  0.0000 (multiplicity 3)
Ga  0.3923  0.1962  0.5000 (multiplicity 3)
Ni  0.2085  0.4170  0.5000 (multiplicity 3)
Ni  0.6667  0.3333  0.0000 (multiplicity 1)

Results
Formation energy from the elements in eV/atom: -0.4550

(4)
A relaxed PbSeO6 crystal, computed with PBE-GGA.

a = 7.0253 Å, b = 7.0253 Å, c = 7.1839 Å
α = 90.00°, β = 90.00°, γ = 120.00°
Space group R-3m (No. 166, hexagonal axes)
Inequivalent atoms, fractional coordinates:
Pb  0.0000  0.0000  0.0000 (multiplicity 3)
Se  0.0000  0.0000  0.5000 (multiplicity 3)
O  0.1029  0.5514  0.3244 (multiplicity 18)

Results
Uncorrected formation energy in meV/atom: -44.3

(5)
A relaxed In2TcP crystal, computed with PBE-GGA.

a = 3.2394 Å, b = 3.2394 Å, c = 26.7147 Å
α = 90.00°, β = 90.00°, γ = 120.00°
Space group R3m (No. 160, hexagonal axes)
Inequivalent atoms, fractional coordinates:
In  0.0000  0.0000  0.0000 (multiplicity 3)
In  0.0000  0.0000  0.2321 (multiplicity 3)
Tc  0.0000  0.0000  0.7490 (multiplicity 3)
P  0.0000  0.0000  0.4677 (multiplicity 3)

Results
Formation energy from the elements in eV/atom: -0.0321

(6)
A relaxed TiCo2HW crystal, computed with PBE-GGA.

a = 3.722 Å, b = 3.722 Å, c = 3.868 Å
α = 90.00°, β = 90.00°, γ = 90.00°
Space group P4/mmm (No. 123)
Inequivalent atoms, fractional coordinates:
Ti  0.000  0.000  0.000 (multiplicity 1)
Co  0.000  0.500  0.500 (multiplicity 2)
H  0.000  0.000  0.500 (multiplicity 1)
W  0.500  0.500  0.000 (multiplicity 1)

Results
Raw total energy in eV/cell: -38.83

(7)
A relaxed ScMo2Pb crystal, computed with PBE-GGA.

a = 3.1281 Å, b = 3.1281 Å, c = 27.8291 Å
α = 90.00°, β = 90.00°, γ = 120.00°
Space group R-3m (No. 166, hexagonal axes)
Inequivalent atoms, fractional coordinates:
Sc  0.0000  0.0000  0.0000 (multiplicity 3)
Mo  0.0000  0.0000  0.2499 (multiplicity 6)
Pb  0.0000  0.0000  0.5000 (multiplicity 3)

Results
Formation energy from the elements in eV/atom: 0.6611

(8)
A relaxed SmY2Tl crystal, computed with PBE-GGA.

a = 3.6737 Å, b = 3.6737 Å, c = 32.2809 Å
α = 90.00°, β = 90.00°, γ = 120.00°
Space group R3m (No. 160, hexagonal axes)
Inequivalent atoms, fractional coordinates:
Sm  0.0000  0.0000  0.0000 (multiplicity 3)
Y  0.0000  0.0000  0.5769 (multiplicity 3)
Y  0.0000  0.0000  0.7566 (multiplicity 3)
Tl  0.0000  0.0000  0.1666 (multiplicity 3)

Results
Formation energy from the elements in eV/atom: -0.1212